1.
Here is an optimized crystal structure of MnAl2Pb from Alexandria via LeMat-Bulk. Energies are from PBE.

```
data_MnAl2Pb
_chemical_formula_sum 'Mn1 Al2 Pb1'
_symmetry_space_group_name_H-M 'P m m m'
_symmetry_Int_Tables_number 47
_cell_length_a 2.9497
_cell_length_b 2.9914
_cell_length_c 8.5526
_cell_angle_alpha 90.00
_cell_angle_beta 90.00
_cell_angle_gamma 90.00
loop_
_symmetry_equiv_pos_as_xyz
'x,y,z'
'-x,-y,-z'
'-x,-y,z'
'x,y,-z'
'x,-y,-z'
'-x,y,z'
'-x,y,-z'
'x,-y,z'
loop_
_atom_site_label
_atom_site_type_symbol
_atom_site_fract_x
_atom_site_fract_y
_atom_site_fract_z
Mn1 Mn 0.0000 0.0000 0.0000
Al1 Al 0.5000 0.5000 0.1696
Pb1 Pb 0.0000 0.5000 0.5000
```

- D(E_F): 3.04 states/eV/f.u.
- V: 18.87 Å³ per atom
- Crystal system: orthorhombic
- ΔH_f (0 K): 62 meV/atom

2.
Here is an optimized crystal structure of YMgCu from Alexandria via LeMat-Bulk. Energies are from PBE.

```
data_YMgCu
_chemical_formula_sum 'Y1 Mg1 Cu1'
_symmetry_space_group_name_H-M 'P -6 m 2'
_symmetry_Int_Tables_number 187
_symmetry_space_group_name_Hall 'P -6 2'
_cell_length_a 5.0065
_cell_length_b 5.0065
_cell_length_c 2.9047
_cell_angle_alpha 90.00
_cell_angle_beta 90.00
_cell_angle_gamma 120.00
loop_
_atom_site_label
_atom_site_type_symbol
_atom_site_fract_x
_atom_site_fract_y
_atom_site_fract_z
Y1 Y 0.0000 0.0000 0.0000
Mg1 Mg 0.6667 0.3333 0.0000
Cu1 Cu 0.3333 0.6667 0.5000
```

- D(E_F): 3.19 states/eV/f.u.
- Relative energy among the computed polymorphs: 0.517 eV per atom
- V: 21.02 Å³ per atom
- Crystal system: hexagonal
- ΔH_f (0 K): 298 meV/atom

3.
Here is an optimized crystal structure of ThSc3Tc from Alexandria via LeMat-Bulk. Energies are from PBE.

```
data_ThSc3Tc
_chemical_formula_sum 'Th4 Sc12 Tc4'
_symmetry_space_group_name_H-M 'C 1 2/m 1'
_symmetry_Int_Tables_number 12
_cell_length_a 11.2365
_cell_length_b 8.1483
_cell_length_c 7.4693
_cell_angle_alpha 90.00
_cell_angle_beta 131.63
_cell_angle_gamma 90.00
loop_
_symmetry_equiv_pos_as_xyz
'x,y,z'
'-x,-y,-z'
'-x,y,-z'
'x,-y,z'
'x+1/2,y+1/2,z'
'-x+1/2,-y+1/2,-z'
'-x+1/2,y+1/2,-z'
'x+1/2,-y+1/2,z'
loop_
_atom_site_label
_atom_site_type_symbol
_atom_site_fract_x
_atom_site_fract_y
_atom_site_fract_z
Th1 Th 0.0505 0.0000 0.3192
Sc1 Sc 0.0561 0.5000 0.2538
Sc2 Sc 0.2299 0.3043 0.7759
Tc1 Tc 0.2428 0.0000 0.8747
```

- D(E_F): 6.01 states/eV/f.u.
- Relative energy among the computed polymorphs: 0.016 eV per atom
- V: 25.56 Å³ per atom
- Crystal system: monoclinic
- ΔH_f (0 K): -39 meV/atom

4.
Here is an optimized crystal structure of TaFePt2 from Alexandria via LeMat-Bulk. Energies are from PBE.

```
data_TaFePt2
_chemical_formula_sum 'Ta1 Fe1 Pt2'
_symmetry_space_group_name_H-M 'P 4 m m'
_symmetry_Int_Tables_number 99
_cell_length_a 2.7808
_cell_length_b 2.7808
_cell_length_c 7.9223
_cell_angle_alpha 90.00
_cell_angle_beta 90.00
_cell_angle_gamma 90.00
loop_
_symmetry_equiv_pos_as_xyz
'x,y,z'
'-y,x,z'
'-x,-y,z'
'y,-x,z'
'-x,y,z'
'y,x,z'
'x,-y,z'
'-y,-x,z'
loop_
_atom_site_label
_atom_site_type_symbol
_atom_site_fract_x
_atom_site_fract_y
_atom_site_fract_z
Ta1 Ta 0.0000 0.0000 0.0000
Fe1 Fe 0.5000 0.5000 0.2497
Pt1 Pt 0.0000 0.0000 0.4734
Pt2 Pt 0.5000 0.5000 0.7450
```

- D(E_F): 2.94 states/eV/f.u.
- Relative energy among the computed polymorphs: 0.291 eV per atom
- V: 15.32 Å³ per atom
- Crystal system: tetragonal
- ΔH_f (0 K): -283 meV/atom

5.
Here is an optimized crystal structure of La2Mg7Cd from Alexandria via LeMat-Bulk. Energies are from PBE.

```
data_La2Mg7Cd
_chemical_formula_sum 'La8 Mg28 Cd4'
_symmetry_space_group_name_H-M 'F m -3 m'
_symmetry_Int_Tables_number 225
_symmetry_space_group_name_Hall '-F 4 2 3'
_cell_length_a 10.4925
_cell_length_b 10.4925
_cell_length_c 10.4925
_cell_angle_alpha 90.00
_cell_angle_beta 90.00
_cell_angle_gamma 90.00
loop_
_atom_site_label
_atom_site_type_symbol
_atom_site_fract_x
_atom_site_fract_y
_atom_site_fract_z
La1 La 0.2500 0.2500 0.2500
Mg1 Mg 0.0000 0.0000 0.0000
Mg2 Mg 0.0000 0.0000 0.2510
Cd1 Cd 0.0000 0.0000 0.5000
```

- D(E_F): 6.78 states/eV/f.u.
- V: 28.88 Å³ per atom
- Crystal system: cubic
- ΔH_f (0 K): 190 meV/atom

6.
Here is an optimized crystal structure of PmPaHg2 from Alexandria via LeMat-Bulk. Energies are from PBE.

```
data_PmPaHg2
_chemical_formula_sum 'Pm3 Pa3 Hg6'
_symmetry_space_group_name_H-M 'R -3 m'
_symmetry_Int_Tables_number 166
_symmetry_space_group_name_Hall '-R 3 2"'
_cell_length_a 3.3342
_cell_length_b 3.3342
_cell_length_c 32.4478
_cell_angle_alpha 90.00
_cell_angle_beta 90.00
_cell_angle_gamma 120.00
loop_
_atom_site_label
_atom_site_type_symbol
_atom_site_fract_x
_atom_site_fract_y
_atom_site_fract_z
Pm1 Pm 0.0000 0.0000 0.0000
Pa1 Pa 0.0000 0.0000 0.5000
Hg1 Hg 0.0000 0.0000 0.2497
```

- D(E_F): 6.64 states/eV/f.u.
- Relative energy among the computed polymorphs: 0.111 eV per atom
- V: 26.03 Å³ per atom
- Crystal system: trigonal
- ΔH_f (0 K): -36 meV/atom